A plane-wave DFT calculation with PBE with a Hubbard U was carried out for a relaxed NdTa2VO8 crystal.

Cell lengths 7.143, 6.788, 6.466 Å; angles 90.00, 91.36, 90.00 degrees
Space group C2/m (No. 12)
Unique sites:
Nd (0.000, 0.000, 0.000) [2 per cell]
Ta (0.023, 0.500, 0.259) [4 per cell]
V (0.000, 0.000, 0.500) [2 per cell]
O (0.008, 0.214, 0.720) [8 per cell]
O (0.173, 0.500, 0.011) [4 per cell]
O (0.194, 0.500, 0.498) [4 per cell]

DFT total energy, eV/atom: -9.052
Magnetic moment, μB/f.u.: 2.00